VASP calculation (PBE with a Hubbard U) on Na3Ni2RuO6 after structural relaxation.

Unit cell a=5.322 b=9.217 c=5.643 alpha=90.00 beta=108.40 gamma=90.00
Space group C2/m (No. 12)
Symmetry-distinct sites (fractional):
1 Na 0.000 0.000 0.000 [2 per cell]
2 Na 0.000 0.329 0.000 [4 per cell]
3 Ni 0.000 0.167 0.500 [4 per cell]
4 Ru 0.000 0.500 0.500 [2 per cell]
5 O 0.226 0.342 0.705 [8 per cell]
6 O 0.247 0.500 0.296 [4 per cell]

density of states at the Fermi level = 0.2 states/eV per cell
VASP energy = -5.289 eV/atom
V = 10.94 Å³ per atom